Density functional theory data (GGA-PBE) for a geometry-optimized Cs2Rb4Bi structure.

Results
M_tot	0.000	μB/atom
energy relative to the elements	-0.09	eV per atom
E	-10.10	eV per cell

Lattice parameters (Å, degrees): 7.278 7.278 13.190 106.02 106.02 90.00
Atoms (fractional coordinates):
Rb 0.500 0.000 0.000
Rb 0.000 0.500 0.000
Cs 0.657 0.657 0.315
Rb 0.852 0.852 0.705
Bi 0.000 0.000 0.000
Rb 0.148 0.148 0.295
Cs 0.343 0.343 0.685